Entry 1:
This record from Alexandria describes FeCu2W at its PBEsol-relaxed geometry. The functional is SCAN.

Calculated values
offset from the most stable computed form	136.4	meV per atom
D(E_F)	1.92	states/eV/cell
DFT formation energy	0.38	eV per atom

Cell: 3.651 3.651 4.423 Å, 114.38 114.38 90.00°
Positions (direct):
Cu1 0.000 0.000 0.000
Cu2 0.750 0.250 0.500
W1 0.250 0.750 0.500
Fe1 0.500 0.500 0.000

Entry 2:
This record from Alexandria describes In2RuRh at its PBEsol-relaxed geometry. The functional is SCAN.

Calculated values
D(E_F)	4.59	states/eV/cell
DFT formation energy	0.12	eV per atom

Cell: 2.934 2.934 8.099 Å, 90.00 90.00 90.00°
Positions (direct):
In1 0.500 0.500 0.289
In2 0.000 0.000 0.960
Ru1 0.500 0.500 0.723
Rh1 0.000 0.000 0.528

Entry 3:
This record from Alexandria describes HfTiPd2 at its PBEsol-relaxed geometry. The functional is SCAN.

Calculated values
D(E_F)	4.35	states/eV/cell
DFT formation energy	-0.60	eV per atom

Cell: 4.535 4.535 4.535 Å, 60.00 60.00 60.00°
Positions (direct):
Hf1 0.500 0.500 0.500
Pd1 0.750 0.750 0.750
Pd2 0.250 0.250 0.250
Ti1 0.000 0.000 0.000

Entry 4:
This record from Alexandria describes ZrAg2SnPt at its PBEsol-relaxed geometry. The functional is SCAN.

Calculated values
D(E_F)	4.59	states/eV/cell
DFT formation energy	1.55	eV per atom

Cell: 4.940 4.940 5.405 Å, 90.00 90.00 90.00°
Positions (direct):
Zr1 0.000 0.000 0.000
Ag1 0.500 0.000 0.000
Ag2 0.000 0.500 0.000
Pt1 0.500 0.500 0.500
Sn1 0.000 0.000 0.500

Entry 5:
This record from Alexandria describes AlCr3Rh at its PBEsol-relaxed geometry. The functional is SCAN.

Calculated values
D(E_F)	6.57	states/eV/cell
DFT formation energy	1.55	eV per atom

Cell: 4.209 4.209 4.209 Å, 90.00 90.00 90.00°
Positions (direct):
Cr1 0.000 0.000 0.500
Cr2 0.000 0.500 0.000
Cr3 0.500 0.000 0.000
Rh1 0.500 0.500 0.500
Al1 0.000 0.000 0.000

Entry 6:
This record from Alexandria describes LaNiPd3 at its PBEsol-relaxed geometry. The functional is SCAN.

Calculated values
D(E_F)	5.72	states/eV/cell
DFT formation energy	-0.16	eV per atom

Cell: 4.585 4.585 4.585 Å, 90.00 90.00 90.00°
Positions (direct):
Pd1 0.500 0.000 0.000
Pd2 0.000 0.000 0.500
Pd3 0.000 0.500 0.000
Ni1 0.000 0.000 0.000
La1 0.500 0.500 0.500